VASP calculation (PBE) on LiLaGdPt after structural relaxation.

The structure in extended XYZ format:
```
4
Lattice="0.000 3.634 3.634 3.634 0.000 3.634 3.634 3.634 0.000" Properties=species:S:1:pos:R:3 pbc="T T T"
Li 0.000 0.000 0.000
La 5.451 5.451 5.451
Gd 1.817 1.817 1.817
Pt 3.634 3.634 3.634
```

crystal system = cubic
magnetic moment = 1.772 μB per atom
space group = F-43m, No. 216
density of states at the Fermi level = 0.9151 states/eV/atom
DFT formation energy = -562 meV/atom